(1)
A relaxed TbDyNi2 crystal, computed with PBE.

a b c (Å): 4.2035 5.4292 5.4292
angles (deg): 40.41 90.00 90.00
Closest atoms and distances in Å follow each position.
Fractional coordinates of all 4 atoms:
Tb: 0.0000 0.0000 0.0000  7 Ni 2.86-2.94
Dy: 0.5000 0.7216 0.7216  7 Ni 2.85-2.95
Ni: 0.0000 0.2881 0.2881  2 Ni 2.57, 2 Tb 2.86
Ni: 0.5000 0.4325 0.4325  2 Ni 2.57, 2 Dy 2.85

The value obtained for the total magnetic moment is 0.0 μB per cell. The value obtained for the formation energy is -449.4 meV per atom.

=====

(2)
A relaxed TbDyNi2 crystal, computed with PBE.

a b c (Å): 4.8194 4.8194 3.3289
angles (deg): 90.00 90.00 90.00
Closest atoms and distances in Å follow each position.
Fractional coordinates of all 4 atoms:
Tb: 0.0000 0.0000 0.0000  8 Ni 2.93
Dy: 0.5000 0.5000 0.0000  8 Ni 2.93
Ni: 0.0000 0.5000 0.5000  4 Tb 2.93, 4 Dy 2.93
Ni: 0.5000 0.0000 0.5000  4 Tb 2.93, 4 Dy 2.93

The value obtained for the total magnetic moment is 0.0 μB per cell. The value obtained for the formation energy is -381.1 meV per atom.

=====

(3)
A relaxed Tb2DyNi6 crystal, computed with PBE.

a b c (Å): 6.9505 6.9505 3.7172
angles (deg): 90.00 90.00 120.00
Closest atoms and distances in Å follow each position.
Fractional coordinates of all 9 atoms:
Tb: 0.3333 0.6667 0.0000  12 Ni 2.97
Tb: 0.6667 0.3333 0.0000  12 Ni 2.97
Dy: 0.0000 0.0000 0.0000  12 Ni 2.97
Ni: 0.0000 0.3331 0.5000  3 Ni 2.32
Ni: 0.0000 0.6669 0.5000  3 Ni 2.32
Ni: 0.3331 0.0000 0.5000  3 Ni 2.32
Ni: 0.3331 0.3331 0.5000  3 Ni 2.32
Ni: 0.6669 0.0000 0.5000  3 Ni 2.32
Ni: 0.6669 0.6669 0.5000  3 Ni 2.32

The value obtained for the total magnetic moment is 0.8 μB per cell. The value obtained for the formation energy is -391.3 meV per atom.

=====

(4)
A relaxed TbDyNi10 crystal, computed with PBE.

a b c (Å): 3.9563 4.8848 8.4510
angles (deg): 90.00 90.00 90.00
Closest atoms and distances in Å follow each position.
Fractional coordinates of all 12 atoms:
Tb: 0.0000 0.0000 0.0000  18 Ni 2.82-3.14
Dy: 0.0000 0.5000 0.5000  18 Ni 2.81-3.14
Ni: 0.0000 0.0000 0.3338  6 Ni 2.43
Ni: 0.0000 0.0000 0.6662  6 Ni 2.43
Ni: 0.0000 0.5000 0.1671  6 Ni 2.43
Ni: 0.0000 0.5000 0.8329  6 Ni 2.43
Ni: 0.5000 0.0000 0.5000  8 Ni 2.43-2.44
Ni: 0.5000 0.2503 0.2505  8 Ni 2.43-2.45
Ni: 0.5000 0.2503 0.7495  8 Ni 2.43-2.45
Ni: 0.5000 0.5000 0.0000  8 Ni 2.43-2.44
Ni: 0.5000 0.7497 0.2505  8 Ni 2.43-2.45
Ni: 0.5000 0.7497 0.7495  8 Ni 2.43-2.45

The value obtained for the total magnetic moment is 2.9 μB per cell. The value obtained for the formation energy is -327.3 meV per atom.

=====

(5)
A relaxed Tb4DyNi4 crystal, computed with PBE.

a b c (Å): 8.4950 8.4950 5.6743
angles (deg): 90.00 90.00 90.00
Closest atoms and distances in Å follow each position.
Fractional coordinates of all 18 atoms:
Tb: 0.0629 0.6649 0.1503  5 Ni 2.69-2.97
Tb: 0.1649 0.9371 0.6503  5 Ni 2.69-2.97
Tb: 0.3351 0.5629 0.6503  5 Ni 2.69-2.97
Tb: 0.4371 0.8351 0.1503  5 Ni 2.69-2.97
Tb: 0.5629 0.1649 0.8497  5 Ni 2.69-2.97
Tb: 0.6649 0.4371 0.3497  5 Ni 2.69-2.97
Tb: 0.8351 0.0629 0.3497  5 Ni 2.69-2.97
Tb: 0.9371 0.3351 0.8497  5 Ni 2.69-2.97
Dy: 0.2500 0.2500 0.2500  4 Ni 2.66
Dy: 0.7500 0.7500 0.7500  4 Ni 2.66
Ni: 0.0237 0.6181 0.6344  1 Ni 2.55, 1 Dy 2.66, 3 Tb 2.69-2.80
Ni: 0.1181 0.9763 0.1344  1 Ni 2.55, 1 Dy 2.66, 3 Tb 2.69-2.80
Ni: 0.3819 0.5237 0.1344  1 Ni 2.55, 1 Dy 2.66, 3 Tb 2.69-2.80
Ni: 0.4763 0.8819 0.6344  1 Ni 2.55, 1 Dy 2.66, 3 Tb 2.69-2.80
Ni: 0.5237 0.1181 0.3656  1 Ni 2.55, 1 Dy 2.66, 3 Tb 2.69-2.80
Ni: 0.6181 0.4763 0.8656  1 Ni 2.55, 1 Dy 2.66, 3 Tb 2.69-2.80
Ni: 0.8819 0.0237 0.8656  1 Ni 2.55, 1 Dy 2.66, 3 Tb 2.69-2.80
Ni: 0.9763 0.3819 0.3656  1 Ni 2.55, 1 Dy 2.66, 3 Tb 2.69-2.80

The value obtained for the total magnetic moment is 0.0 μB per cell. The value obtained for the formation energy is -256.5 meV per atom.

=====

(6)
A relaxed Tb4DyNi2 crystal, computed with PBE.

a b c (Å): 7.4788 6.4203 7.9541
angles (deg): 90.00 112.51 90.00
Closest atoms and distances in Å follow each position.
Fractional coordinates of all 14 atoms:
Tb: 0.0267 0.2500 0.3862  1 Ni 2.59
Tb: 0.2506 0.7500 0.3454  2 Ni 2.70-2.79
Tb: 0.4072 0.0056 0.7685  4 Ni 2.96-3.21, 2 Tb 3.14-3.28
Tb: 0.4072 0.4944 0.7685  4 Ni 2.96-3.21, 2 Tb 3.14-3.28
Tb: 0.5928 0.5056 0.2315  4 Ni 2.96-3.21, 2 Tb 3.14-3.28
Tb: 0.5928 0.9944 0.2315  4 Ni 2.96-3.21, 2 Tb 3.14-3.28
Tb: 0.7494 0.2500 0.6546  2 Ni 2.70-2.79
Tb: 0.9733 0.7500 0.6138  1 Ni 2.59
Dy: 0.1493 0.2500 0.0287  2 Ni 2.85-2.95
Dy: 0.8507 0.7500 0.9713  2 Ni 2.85-2.95
Ni: 0.2549 0.7500 0.9958  6 Tb 2.79-2.97, 1 Dy 2.95
Ni: 0.3808 0.2500 0.4081  2 Tb 2.59-2.70, 1 Dy 2.85
Ni: 0.6192 0.7500 0.5919  2 Tb 2.59-2.70, 1 Dy 2.85
Ni: 0.7451 0.2500 0.0042  6 Tb 2.79-2.97, 1 Dy 2.95

The value obtained for the total magnetic moment is 0.0 μB per cell. The value obtained for the formation energy is -140.9 meV per atom.

=====

(7)
A relaxed Tb2DyNi crystal, computed with PBE.

a b c (Å): 3.4552 3.4552 8.6589
angles (deg): 90.00 90.00 90.00
Closest atoms and distances in Å follow each position.
Fractional coordinates of all 4 atoms:
Tb: 0.0000 0.0000 0.1876  4 Ni 2.93, 1 Tb 3.25
Tb: 0.0000 0.0000 0.8124  4 Ni 2.93, 1 Tb 3.25
Dy: 0.5000 0.5000 0.5000  4 Dy 3.46, 8 Tb 3.65
Ni: 0.5000 0.5000 0.0000  8 Tb 2.93

The value obtained for the total magnetic moment is 0.0 μB per cell. The value obtained for the formation energy is -146.8 meV per atom.

=====

(8)
A relaxed Tb2DyNi crystal, computed with PBE.

a b c (Å): 6.2315 6.2315 9.5616
angles (deg): 90.00 90.00 145.85
Closest atoms and distances in Å follow each position.
Fractional coordinates of all 8 atoms:
Tb: 0.1368 0.8632 0.5694  2 Ni 2.78
Tb: 0.1368 0.8632 0.9306  2 Ni 2.78
Tb: 0.8632 0.1368 0.0694  2 Ni 2.78
Tb: 0.8632 0.1368 0.4306  2 Ni 2.78
Dy: 0.4182 0.5818 0.7500  2 Ni 2.84
Dy: 0.5818 0.4182 0.2500  2 Ni 2.84
Ni: 0.2643 0.7357 0.2500  4 Tb 2.78, 2 Dy 2.84
Ni: 0.7357 0.2643 0.7500  4 Tb 2.78, 2 Dy 2.84

The value obtained for the total magnetic moment is 0.0 μB per cell. The value obtained for the formation energy is -210.7 meV per atom.

=====

(9)
A relaxed TbDyNi4 crystal, computed with PBE.

a b c (Å): 5.0706 5.0706 5.0706
angles (deg): 60.00 60.00 60.00
Closest atoms and distances in Å follow each position.
Fractional coordinates of all 6 atoms:
Tb: 0.0000 0.0000 0.0000  12 Ni 2.97, 4 Dy 3.11
Dy: 0.2500 0.2500 0.2500  12 Ni 2.97, 4 Tb 3.11
Ni: 0.1253 0.6249 0.6249  6 Ni 2.53-2.54
Ni: 0.6249 0.1253 0.6249  6 Ni 2.53-2.54
Ni: 0.6249 0.6249 0.1253  6 Ni 2.53-2.54
Ni: 0.6249 0.6249 0.6249  6 Ni 2.53-2.54

The value obtained for the total magnetic moment is 0.0 μB per cell. The value obtained for the formation energy is -441.8 meV per atom.

=====

(10)
A relaxed Tb12DyNi6 crystal, computed with PBE.

a b c (Å): 8.5503 8.5503 8.5503
angles (deg): 109.47 109.47 109.47
Closest atoms and distances in Å follow each position.
Fractional coordinates of all 19 atoms:
Tb: 0.1269 0.8157 0.3112  3 Ni 2.66-2.88
Tb: 0.1843 0.3112 0.4955  3 Ni 2.66-2.88
Tb: 0.1843 0.6888 0.8731  3 Ni 2.66-2.88
Tb: 0.3112 0.1269 0.8157  3 Ni 2.66-2.88
Tb: 0.3112 0.4955 0.1843  3 Ni 2.66-2.88
Tb: 0.4955 0.1843 0.3112  3 Ni 2.66-2.88
Tb: 0.5045 0.8157 0.6888  3 Ni 2.66-2.88
Tb: 0.6888 0.5045 0.8157  3 Ni 2.66-2.88
Tb: 0.6888 0.8731 0.1843  3 Ni 2.66-2.88
Tb: 0.8157 0.3112 0.1269  3 Ni 2.66-2.88
Tb: 0.8157 0.6888 0.5045  3 Ni 2.66-2.88
Tb: 0.8731 0.1843 0.6888  3 Ni 2.66-2.88
Dy: 0.0000 0.0000 0.0000  12 Tb 3.57
Ni: 0.1235 0.6235 0.5000  1 Ni 2.44, 2 Tb 2.66
Ni: 0.3765 0.5000 0.8765  1 Ni 2.44, 2 Tb 2.66
Ni: 0.5000 0.1235 0.6235  1 Ni 2.44, 2 Tb 2.66
Ni: 0.5000 0.8765 0.3765  1 Ni 2.44, 2 Tb 2.66
Ni: 0.6235 0.5000 0.1235  1 Ni 2.44, 2 Tb 2.66
Ni: 0.8765 0.3765 0.5000  1 Ni 2.44, 2 Tb 2.66

The value obtained for the total magnetic moment is 0.0 μB per cell. The value obtained for the formation energy is -231.8 meV per atom.

=====

(11)
A relaxed Tb4Dy3Ni2 crystal, computed with PBE.

a b c (Å): 8.4456 8.4456 8.9867
angles (deg): 112.45 112.45 24.66
Closest atoms and distances in Å follow each position.
Fractional coordinates of all 9 atoms:
Tb: 0.1335 0.1335 0.3916  7 Tb 3.61-4.00, 6 Dy 3.63-3.80, 1 Ni 3.97
Tb: 0.2703 0.2703 0.8469  3 Ni 2.75-2.93
Tb: 0.7297 0.7297 0.1531  3 Ni 2.75-2.93
Tb: 0.8665 0.8665 0.6084  7 Tb 3.61-4.00, 6 Dy 3.63-3.80, 1 Ni 3.97
Dy: 0.4297 0.4297 0.3123  2 Ni 2.75
Dy: 0.5000 0.5000 0.0000  4 Ni 2.86
Dy: 0.5703 0.5703 0.6877  2 Ni 2.75
Ni: 0.1182 0.1182 0.9392  3 Tb 2.75-2.93, 4 Dy 2.75-2.86
Ni: 0.8818 0.8818 0.0608  3 Tb 2.75-2.93, 4 Dy 2.75-2.86

The value obtained for the total magnetic moment is 0.0 μB per cell. The value obtained for the formation energy is -163.4 meV per atom.

=====

(12)
A relaxed TbDy3Ni2 crystal, computed with PBE.

a b c (Å): 8.2722 8.2722 11.3756
angles (deg): 122.34 122.34 27.11
Closest atoms and distances in Å follow each position.
Fractional coordinates of all 12 atoms:
Tb: 0.1539 0.1539 0.2462  4 Ni 2.80-3.10
Tb: 0.8461 0.8461 0.7538  4 Ni 2.80-3.10
Dy: 0.1545 0.1545 0.7466  4 Ni 2.79-3.09
Dy: 0.4176 0.4176 0.0597  3 Ni 2.79-2.93
Dy: 0.4179 0.4179 0.5589  3 Ni 2.79-2.95
Dy: 0.5821 0.5821 0.4411  3 Ni 2.79-2.95
Dy: 0.5824 0.5824 0.9403  3 Ni 2.79-2.93
Dy: 0.8455 0.8455 0.2534  4 Ni 2.79-3.09
Ni: 0.2315 0.2315 0.5502  2 Ni 2.48
Ni: 0.2315 0.2315 0.0499  2 Ni 2.48
Ni: 0.7685 0.7685 0.9501  2 Ni 2.48
Ni: 0.7685 0.7685 0.4498  2 Ni 2.48

The value obtained for the total magnetic moment is 0.0 μB per cell. The value obtained for the formation energy is -290.5 meV per atom.